# Nb2HgBCl PBE-GGA relaxed
data_Nb2HgBCl
_cell_length_a 5.505
_cell_length_b 5.505
_cell_length_c 4.008
_cell_angle_alpha 90.00
_cell_angle_beta 90.00
_cell_angle_gamma 90.00
_space_group_name_H-M_alt 'P 4/m m m'
_space_group_IT_number 123
_space_group_name_Hall '-P 4 2'
loop_
_atom_site_label
_atom_site_type_symbol
_atom_site_fract_x
_atom_site_fract_y
_atom_site_fract_z
Nb1 Nb 0.000 0.500 0.000
Hg1 Hg 0.000 0.000 0.000
B1 B 0.000 0.000 0.500
Cl1 Cl 0.500 0.500 0.500
# Formation energy without anion corrections (eV per atom): 1.77
# Size of the total moment (μB/f.u.): 6.1



# NbHgB2Cl PBE-GGA relaxed
data_NbHgB2Cl
_cell_length_a 4.552
_cell_length_b 4.552
_cell_length_c 4.825
_cell_angle_alpha 90.00
_cell_angle_beta 90.00
_cell_angle_gamma 90.00
_space_group_name_H-M_alt 'P 4/m m m'
_space_group_IT_number 123
_space_group_name_Hall '-P 4 2'
loop_
_atom_site_label
_atom_site_type_symbol
_atom_site_fract_x
_atom_site_fract_y
_atom_site_fract_z
Nb1 Nb 0.000 0.000 0.000
Hg1 Hg 0.500 0.500 0.500
B1 B 0.000 0.500 0.000
Cl1 Cl 0.000 0.000 0.500
# Formation energy without anion corrections (eV per atom): 1.04
# Size of the total moment (μB/f.u.): 0.0



# HgBOs2Cl PBE-GGA relaxed
data_HgBOs2Cl
_cell_length_a 5.347
_cell_length_b 5.347
_cell_length_c 4.046
_cell_angle_alpha 90.00
_cell_angle_beta 90.00
_cell_angle_gamma 90.00
_space_group_name_H-M_alt 'P 4/m m m'
_space_group_IT_number 123
_space_group_name_Hall '-P 4 2'
loop_
_atom_site_label
_atom_site_type_symbol
_atom_site_fract_x
_atom_site_fract_y
_atom_site_fract_z
Hg1 Hg 0.000 0.000 0.000
B1 B 0.000 0.000 0.500
Os1 Os 0.000 0.500 0.000
Cl1 Cl 0.500 0.500 0.500
# Formation energy without anion corrections (eV per atom): 2.78
# Size of the total moment (μB/f.u.): 7.1



# HgB2OsCl PBE-GGA relaxed
data_HgB2OsCl
_cell_length_a 4.012
_cell_length_b 4.012
_cell_length_c 4.675
_cell_angle_alpha 90.00
_cell_angle_beta 90.00
_cell_angle_gamma 90.00
_space_group_name_H-M_alt 'P 4/m m m'
_space_group_IT_number 123
_space_group_name_Hall '-P 4 2'
loop_
_atom_site_label
_atom_site_type_symbol
_atom_site_fract_x
_atom_site_fract_y
_atom_site_fract_z
Hg1 Hg 0.000 0.000 0.000
B1 B 0.000 0.500 0.500
Os1 Os 0.500 0.500 0.000
Cl1 Cl 0.500 0.500 0.500
# Formation energy without anion corrections (eV per atom): 2.31
# Size of the total moment (μB/f.u.): 0.0



# HgBP2Cl PBE-GGA relaxed
data_HgBP2Cl
_cell_length_a 3.917
_cell_length_b 3.917
_cell_length_c 7.611
_cell_angle_alpha 90.00
_cell_angle_beta 90.00
_cell_angle_gamma 90.00
_space_group_name_H-M_alt 'P 4/m m m'
_space_group_IT_number 123
_space_group_name_Hall '-P 4 2'
loop_
_atom_site_label
_atom_site_type_symbol
_atom_site_fract_x
_atom_site_fract_y
_atom_site_fract_z
Hg1 Hg 0.000 0.000 0.000
B1 B 0.500 0.500 0.500
P1 P 0.000 0.500 0.500
Cl1 Cl 0.500 0.500 0.000
# Formation energy without anion corrections (eV per atom): 0.68
# Size of the total moment (μB/f.u.): 0.4
# Excess energy over the best structure of this formula in the dataset (meV per atom): 0



# HgBP2Cl PBE-GGA relaxed
data_HgBP2Cl
_cell_length_a 4.974
_cell_length_b 4.974
_cell_length_c 5.623
_cell_angle_alpha 90.00
_cell_angle_beta 90.00
_cell_angle_gamma 90.00
_space_group_name_H-M_alt 'P 4/m m m'
_space_group_IT_number 123
_space_group_name_Hall '-P 4 2'
loop_
_atom_site_label
_atom_site_type_symbol
_atom_site_fract_x
_atom_site_fract_y
_atom_site_fract_z
Hg1 Hg 0.000 0.000 0.000
B1 B 0.500 0.500 0.500
P1 P 0.000 0.500 0.000
Cl1 Cl 0.000 0.000 0.500
# Formation energy without anion corrections (eV per atom): 1.82
# Size of the total moment (μB/f.u.): 1.7
# Excess energy over the best structure of this formula in the dataset (meV per atom): 1138